(1)
# Cd4SiTc

Cd4SiTc after structural relaxation (PBE, Alexandria).

## Properties
* formation energy without anion corrections: 0.713 eV per atom

a = 5.580 Å, b = 5.580 Å, c = 5.580 Å
α = 60.00°, β = 60.00°, γ = 60.00°
Positions (direct):
Cd (0.125, 0.125, 0.125)
Cd (0.125, 0.125, 0.624)
Cd (0.125, 0.624, 0.125)
Cd (0.624, 0.125, 0.125)
Si (0.750, 0.750, 0.750)
Tc (0.500, 0.500, 0.500)


(2)
# La3Mg2Sc

La3Mg2Sc after structural relaxation (PBE, Alexandria).

## Properties
* formation energy from the elements: -0.039 eV/atom

a = 3.924 Å, b = 3.924 Å, c = 12.139 Å
α = 90.00°, β = 90.00°, γ = 90.00°
Positions (direct):
La (0.000, 0.000, 0.000)
La (0.000, 0.000, 0.330)
La (0.000, 0.000, 0.670)
Mg (0.500, 0.500, 0.167)
Mg (0.500, 0.500, 0.833)
Sc (0.500, 0.500, 0.500)


(3)
# AcLaIrN2

AcLaIrN2 after structural relaxation (PBE, Alexandria).

## Properties
* formation energy without anion corrections: -0.680 eV per atom

a = 5.739 Å, b = 5.050 Å, c = 7.088 Å
α = 90.00°, β = 96.89°, γ = 90.00°
Positions (direct):
Ac (0.000, 0.071, 0.250)
Ac (0.000, 0.929, 0.750)
La (0.500, 0.475, 0.750)
La (0.500, 0.525, 0.250)
Ir (0.500, 0.000, 0.000)
Ir (0.500, 0.000, 0.500)
N (0.237, 0.272, 0.988)
N (0.237, 0.728, 0.488)
N (0.763, 0.272, 0.512)
N (0.763, 0.728, 0.012)


(4)
# GaNi8P2

GaNi8P2 after structural relaxation (PBE, Alexandria).

## Properties
* formation energy from the elements: -0.391 eV/atom

a = 4.359 Å, b = 4.984 Å, c = 6.482 Å
α = 109.98°, β = 104.32°, γ = 97.85°
Positions (direct):
Ga (0.000, 0.000, 0.000)
Ni (0.147, 0.896, 0.356)
Ni (0.204, 0.422, 0.378)
Ni (0.249, 0.580, 0.973)
Ni (0.386, 0.898, 0.765)
Ni (0.614, 0.102, 0.235)
Ni (0.751, 0.420, 0.027)
Ni (0.796, 0.578, 0.622)
Ni (0.853, 0.104, 0.644)
P (0.388, 0.308, 0.680)
P (0.612, 0.692, 0.320)